K2VAgO4 | PBE with a Hubbard U | optimized geometry

a b c (Å): 11.7909 10.5913 6.4522
angles (deg): 83.79 63.25 32.96
With the nearest neighbours (Å) after each atom.
Positions (direct):
K (0.0543, 0.0543, 0.6957)  4 O 3.00-3.09
K (0.3043, 0.3043, 0.9457)  4 O 3.00-3.09
K (0.6957, 0.6957, 0.0543)  4 O 3.00-3.09
K (0.9457, 0.9457, 0.3043)  4 O 3.00-3.09
V (0.3750, 0.3750, 0.3750)  4 O 1.76
V (0.6250, 0.6250, 0.6250)  4 O 1.76
Ag (0.1250, 0.1250, 0.1250)  4 O 2.29
Ag (0.8750, 0.8750, 0.8750)  4 O 2.29
O (0.0557, 0.5964, 0.5093)  1 V 1.76
O (0.3386, 0.5093, 0.5964)  1 V 1.76
O (0.4036, 0.9443, 0.6614)  1 V 1.76
O (0.4907, 0.6614, 0.9443)  1 V 1.76
O (0.5093, 0.3386, 0.0557)  1 V 1.76
O (0.5964, 0.0557, 0.3386)  1 V 1.76
O (0.6614, 0.4907, 0.4036)  1 V 1.76
O (0.9443, 0.4036, 0.4907)  1 V 1.76

Computed properties:
The total energy comes out at -5.476 eV/atom. The value obtained for the size of the total moment is 0.00 μB per atom. As for the symmetry: No. 70.